(1)
Below is a relaxed structure of PmPr2Er2Tm, with properties calculated at the PBE level.

Results
- VASP energy: -4.58 eV per atom
- Crystal system: orthorhombic
- ΔH_f (0 K): 0.44 eV per formula unit

a b c (Å): 5.683 7.015 9.894
angles (deg): 90.00 90.00 90.00
Element x y z (fractional)
Pr (0.000, 0.258, 0.170)
Pr (0.500, 0.008, 0.000)
Pr (0.500, 0.508, 0.000)
Pr (0.000, 0.758, 0.830)
Pm (0.000, 0.008, 0.500)
Pm (0.000, 0.508, 0.500)
Er (0.500, 0.758, 0.666)
Er (0.000, 0.758, 0.166)
Er (0.000, 0.258, 0.834)
Er (0.500, 0.258, 0.334)
Tm (0.500, 0.258, 0.663)
Tm (0.500, 0.758, 0.337)

(2)
Below is a relaxed structure of Pm2Pr4Er2Tm, with properties calculated at the PBE level.

Results
- VASP energy: -4.67 eV per atom
- Crystal system: monoclinic
- ΔH_f (0 K): 0.23 eV per formula unit

a b c (Å): 5.149 8.144 8.079
angles (deg): 107.65 90.00 108.43
Element x y z (fractional)
Tm (0.000, 0.000, 0.000)
Er (0.333, 0.666, 0.000)
Er (0.667, 0.334, 0.000)
Pr (0.554, 0.109, 0.329)
Pr (0.778, 0.556, 0.671)
Pr (0.446, 0.891, 0.671)
Pr (0.222, 0.444, 0.329)
Pm (0.112, 0.223, 0.671)
Pm (0.888, 0.777, 0.329)

(3)
Below is a relaxed structure of Pm2PrErTm, with properties calculated at the PBE level.

Results
- VASP energy: -4.28 eV per atom
- Crystal system: orthorhombic
- ΔH_f (0 K): 1.94 eV per formula unit

a b c (Å): 7.280 8.448 7.171
angles (deg): 126.09 90.00 90.00
Element x y z (fractional)
Er (0.750, 0.003, 0.006)
Er (0.250, 0.997, 0.994)
Pm (0.000, 0.307, 0.000)
Pm (0.000, 0.693, 0.000)
Pm (0.500, 0.307, 0.000)
Pm (0.500, 0.693, 0.000)
Tm (0.250, 0.273, 0.546)
Tm (0.750, 0.727, 0.454)
Pr (0.250, 0.728, 0.457)
Pr (0.750, 0.272, 0.543)

(4)
Below is a relaxed structure of Pm3Pr2ErTm6, with properties calculated at the PBE level.

Results
- VASP energy: -4.58 eV per atom
- Crystal system: monoclinic
- ΔH_f (0 K): 0.22 eV per formula unit

a b c (Å): 6.189 6.189 11.725
angles (deg): 95.03 95.03 119.99
Element x y z (fractional)
Tm (0.416, 0.083, 0.250)
Tm (0.249, 0.249, 0.750)
Tm (0.584, 0.917, 0.750)
Tm (0.917, 0.584, 0.750)
Tm (0.751, 0.751, 0.250)
Tm (0.083, 0.416, 0.250)
Pm (0.500, 0.500, 0.500)
Pm (0.167, 0.833, 0.500)
Pm (0.833, 0.167, 0.500)
Er (0.000, 0.000, 0.000)
Pr (0.334, 0.666, 0.000)
Pr (0.666, 0.334, 0.000)